# Li2ZnCuTe

Li2ZnCuTe after structural relaxation (PBE-GGA, Alexandria via LeMat-Bulk).

The calculation puts the uncorrected formation energy at 0.020 eV per atom. The total magnetization comes out at 0.0 μB per formula unit. The value obtained for the energy is -2.448 eV per atom.

It has space group P4/mmm (No. 123), with a = 5.198 Å, b = 5.198 Å, c = 5.027 Å, α = 90.00°, β = 90.00° and γ = 90.00°. The asymmetric unit holds Li at (0.000, 0.500, 0.000), Zn at (0.000, 0.000, 0.500), Cu at (0.500, 0.500, 0.500) and Te at (0.500, 0.500, 0.000).